# SrTe2As

A relaxed structure of SrTe2As (GGA-PBEsol, Alexandria).

Density of states at the Fermi level in states/eV per cell: 4.107
ΔE_f (raw) in meV/atom: -552
DFT total energy in eV/atom: -4.052

Cell and atoms, written as CIF:
```
data_SrTe2As
_chemical_formula_sum 'Sr2 Te4 As2'
_symmetry_space_group_name_H-M 'C m m m'
_symmetry_Int_Tables_number 65
_symmetry_space_group_name_Hall '-C 2 2'
_cell_length_a 6.808
_cell_length_b 7.719
_cell_length_c 4.116
_cell_angle_alpha 90.00
_cell_angle_beta 90.00
_cell_angle_gamma 90.00
loop_
_atom_site_label
_atom_site_type_symbol
_atom_site_fract_x
_atom_site_fract_y
_atom_site_fract_z
Sr1 Sr 0.000 0.000 0.000
Te1 Te 0.250 0.250 0.500
As1 As 0.000 0.500 0.000
```